Entry 1:
{"formula": "YSc3P4", "functional": "PBE-GGA", "state": "optimized geometry", "energy_ev_per_cell": -59.133, "dos_at_fermi_per_ev_atom": 0.119, "cell": [[3.8218, -5.4072, 0.0000], [3.8218, 5.4072, 0.0000], [0.0000, 0.0000, 3.8284]], "species": ["Y", "Sc", "Sc", "Sc", "P", "P", "P", "P"], "fractional_positions": [[0.0000, 0.0000, 0.0000], [0.0000, 0.5000, 0.5000], [0.5000, 0.0000, 0.5000], [0.5000, 0.5000, 0.0000], [0.2554, 0.7446, 0.0000], [0.2609, 0.2609, 0.5000], [0.7391, 0.7391, 0.5000], [0.7446, 0.2554, 0.0000]]}

Entry 2:
{"formula": "NaPd7Pb12", "functional": "PBE-GGA", "state": "optimized geometry", "energy_ev_per_cell": -85.089, "dos_at_fermi_per_ev_atom": 0.549, "cell": [[7.2209, 4.1690, 2.7607], [-7.2209, 4.1690, 2.7607], [0.0000, -8.3380, 2.7607]], "species": ["Na", "Pd", "Pd", "Pd", "Pd", "Pd", "Pd", "Pd", "Pb", "Pb", "Pb", "Pb", "Pb", "Pb", "Pb", "Pb", "Pb", "Pb", "Pb", "Pb"], "fractional_positions": [[0.0000, 0.0000, 0.0000], [0.1246, 0.2480, 0.4479], [0.2480, 0.4479, 0.1246], [0.4479, 0.1246, 0.2480], [0.5000, 0.5000, 0.5000], [0.5521, 0.8754, 0.7520], [0.7520, 0.5521, 0.8754], [0.8754, 0.7520, 0.5521], [0.0609, 0.1846, 0.7208], [0.1598, 0.5609, 0.4095], [0.1846, 0.7208, 0.0609], [0.2792, 0.9391, 0.8154], [0.4095, 0.1598, 0.5609], [0.4391, 0.5905, 0.8402], [0.5609, 0.4095, 0.1598], [0.5905, 0.8402, 0.4391], [0.7208, 0.0609, 0.1846], [0.8154, 0.2792, 0.9391], [0.8402, 0.4391, 0.5905], [0.9391, 0.8154, 0.2792]]}

Across the entries above, ΔH_f (0 K) takes the values -1504; -146 meV/atom, respectively.